Entry 1:
Entry from Alexandria: crystalline BaPPb2 at its relaxed geometry (GGA-PBE).

Results
ΔH_f (0 K)   -0.31 eV per atom
Volume   269.2 Å³ per cell

CIF file:
```
data_BaPPb2
_chemical_formula_sum 'Ba2 P2 Pb4'
_cell_length_a 6.394
_cell_length_b 7.997
_cell_length_c 5.265
_cell_angle_alpha 90.00
_cell_angle_beta 90.00
_cell_angle_gamma 90.00
_symmetry_space_group_name_H-M 'C m m m'
_symmetry_Int_Tables_number 65
_symmetry_space_group_name_Hall '-C 2 2'
loop_
_atom_site_label
_atom_site_type_symbol
_atom_site_fract_x
_atom_site_fract_y
_atom_site_fract_z
Ba1 Ba 0.000 0.000 0.000
P1 P 0.000 0.500 0.000
Pb1 Pb 0.000 0.314 0.500
```

Entry 2:
Entry from Alexandria: crystalline LiPmDyBe at its relaxed geometry (GGA-PBE).

Results
ΔH_f (0 K)   0.15 eV per atom
Volume   364.1 Å³ per cell

CIF file:
```
data_LiPmDyBe
_chemical_formula_sum 'Li4 Pm4 Dy4 Be4'
_cell_length_a 7.141
_cell_length_b 7.141
_cell_length_c 7.141
_cell_angle_alpha 90.00
_cell_angle_beta 90.00
_cell_angle_gamma 90.00
_symmetry_space_group_name_H-M 'F -4 3 m'
_symmetry_Int_Tables_number 216
_symmetry_space_group_name_Hall 'F -4 2 3'
loop_
_atom_site_label
_atom_site_type_symbol
_atom_site_fract_x
_atom_site_fract_y
_atom_site_fract_z
Li1 Li 0.000 0.000 0.000
Pm1 Pm 0.250 0.250 0.250
Dy1 Dy 0.250 0.250 0.750
Be1 Be 0.000 0.000 0.500
```